Material: CaMgRh3
Method: DFT, GGA-PBE
State: relaxed

Calculated values
Size of the total moment, μB per atom: 0.2382
Energy of formation from the pure elements, eV/atom: 1.120
DFT total energy, eV per formula unit: -20.05
V, Å³ per atom: 21.71
Space-group type: Pm-3m, No. 221

CIF file:
```
data_CaMgRh3
_chemical_formula_sum 'Ca1 Mg1 Rh3'
_space_group_name_H-M_alt 'P 1'
_space_group_IT_number 1
_space_group_name_Hall 'P 1'
_cell_length_a 4.7704
_cell_length_b 4.7704
_cell_length_c 4.7704
_cell_angle_alpha 90.00
_cell_angle_beta 90.00
_cell_angle_gamma 90.00
loop_
_atom_site_label
_atom_site_type_symbol
_atom_site_fract_x
_atom_site_fract_y
_atom_site_fract_z
Ca1 Ca 0.0000 0.0000 0.0000
Mg1 Mg 0.5000 0.5000 0.5000
Rh1 Rh 0.0000 0.0000 0.5000
Rh2 Rh 0.0000 0.5000 0.0000
Rh3 Rh 0.5000 0.0000 0.0000
```